DFT (PBE) results for La2TeMo after structural relaxation.

The structure belongs to space group I4/mmm (No. 139); the cell edges are 4.995, 4.995 and 8.576 Å and the angles 90.00°, 90.00° and 90.00°. The distinct sites, in fractional coordinates, are La at (0.000, 0.500, 0.250), Te at (0.000, 0.000, 0.000) and Mo at (0.000, 0.000, 0.500).

The calculation puts the mass density at 7.782 g/cm³. Its density of states at the Fermi level is 6.6 states/eV/f.u. The value obtained for the total magnetization is 0.388 μB/cell. As for the uncorrected formation energy: -0.05 eV per atom. The calculation puts the total energy at -6.01 eV per atom.